No. 1
! PBE Zn2Cd2In, optimized geometry; values from VASP
! **Formation enthalpy at 0 K**: 86 meV per atom
! **Total magnetic moment**: 0.0000 μB per atom
&SYSTEM
  ibrav = 0, nat = 10, ntyp = 3
/
ATOMIC_SPECIES
Cd 112.41 Cd.upf
In 114.82 In.upf
Zn 65.41 Zn.upf
CELL_PARAMETERS angstrom
-7.859 -2.537 1.198
2.309 -3.826 7.048
-0.579 2.535 1.566
ATOMIC_POSITIONS angstrom
Cd -5.975 -2.013 3.989
In -2.775 -3.181 4.123
Zn 0.005 -1.767 2.863
Cd -0.155 -1.815 5.822
Zn -5.556 -4.595 5.383
Cd -3.779 -3.590 7.354
In 0.000 0.000 0.000
Zn -4.557 -1.988 1.531
Zn -0.993 -4.375 6.715
Cd -2.351 -0.238 2.457

No. 2
! PBE ZnCd2In, optimized geometry; values from VASP
! **Formation enthalpy at 0 K**: 81 meV per atom
! **Total magnetic moment**: 0.0000 μB per atom
&SYSTEM
  ibrav = 0, nat = 4, ntyp = 3
/
ATOMIC_SPECIES
In 114.82 In.upf
Cd 112.41 Cd.upf
Zn 65.41 Zn.upf
CELL_PARAMETERS angstrom
3.316 0.106 -0.082
1.750 2.818 -0.082
1.484 0.857 9.729
ATOMIC_POSITIONS angstrom
In 3.331 1.923 4.762
Cd 1.417 0.818 7.529
Cd 1.726 0.997 2.157
Zn 3.351 1.935 -0.102

No. 3
! PBE ZnCd4In, optimized geometry; values from VASP
! **Formation enthalpy at 0 K**: 65 meV per atom
! **Total magnetic moment**: 0.0000 μB per atom
&SYSTEM
  ibrav = 0, nat = 12, ntyp = 3
/
ATOMIC_SPECIES
Cd 112.41 Cd.upf
Zn 65.41 Zn.upf
In 114.82 In.upf
CELL_PARAMETERS angstrom
-2.468 -0.158 4.667
3.215 -4.671 1.542
5.514 8.143 0.204
ATOMIC_POSITIONS angstrom
Cd 0.130 -0.363 4.396
Cd 3.408 5.941 3.354
Cd 3.876 2.734 3.756
Cd 2.853 -2.627 3.058
Zn 1.523 3.992 2.435
Cd 2.385 0.580 2.656
Cd 2.660 -1.841 5.946
In 0.248 -1.203 1.436
Zn 4.364 1.736 0.873
In 0.499 -3.626 4.773
Cd 3.601 5.155 0.466
Cd 6.130 3.677 2.016

No. 4
! PBE ZnCd2In, optimized geometry; values from VASP
! **Formation enthalpy at 0 K**: 132 meV per atom
! **Total magnetic moment**: 0.0000 μB per atom
&SYSTEM
  ibrav = 0, nat = 8, ntyp = 3
/
ATOMIC_SPECIES
In 114.82 In.upf
Cd 112.41 Cd.upf
Zn 65.41 Zn.upf
CELL_PARAMETERS angstrom
8.116 0.000 0.000
0.000 8.116 0.000
4.058 4.058 2.942
ATOMIC_POSITIONS angstrom
In 8.116 4.058 1.471
Cd 6.087 6.345 2.206
Zn 4.058 8.116 1.471
Zn 4.058 4.058 0.000
Cd 5.830 2.029 0.735
Cd 10.145 9.888 2.206
In 0.000 0.000 0.000
Cd 2.287 6.087 0.735